6
Lattice="-0.937 -3.003 2.575 -2.454 -4.606 -3.058 5.956 1.048 0.183" Properties=species:S:1:pos:R:3 comment="GGA-PBE ZrInCu, relaxed" ef_ev_per_atom=-0.18 space_group="No. 12" vol_a3_per_cell=115.1 pbc="T T T"
In 3.304 -2.652 -1.052
In 1.529 -0.845 0.408
Cu 2.889 -2.915 1.700
Cu 1.007 -3.584 0.231
Zr -0.776 -5.550 0.501
Zr 4.671 -0.950 1.430

---

4
Lattice="-7.031 -3.885 3.991 -6.226 -6.436 0.524 -3.879 -6.918 4.189" Properties=species:S:1:pos:R:3 comment="GGA-PBE Ba2BeFe, relaxed" ef_ev_per_atom=0.98 space_group="No. 166" vol_a3_per_cell=142.9 pbc="T T T"
Ba -0.029 -0.029 0.015
Ba -8.539 -8.591 4.338
Fe -12.852 -12.930 6.529
Be -4.284 -4.310 2.176

---

4
Lattice="-3.661 -0.211 -3.360 0.740 -3.144 -3.782 -0.198 0.148 4.967" Properties=species:S:1:pos:R:3 comment="GGA-PBE MgSi2Tc, relaxed" e_form_raw_mev_per_atom=-2.4 space_group="No. 44" vol_a3_per_cell=57.5 pbc="T T T"
Tc -1.419 -1.630 -3.471
Si -0.457 -2.335 -1.189
Si -0.038 -0.044 -0.094
Mg -2.663 -0.875 -0.991

---

4
Lattice="3.120 0.000 0.000 0.000 4.783 0.000 0.000 0.000 6.048" Properties=species:S:1:pos:R:3 comment="GGA-PBE MgPb2W, relaxed" ef_ev_per_atom=0.72 space_group="No. 25" vol_a3_per_cell=90.3 pbc="T T T"
Pb 1.560 2.391 1.689
Pb 0.000 0.000 5.916
Mg 1.560 2.391 4.481
W 0.000 0.000 3.035

---

16
Lattice="-2.396 2.210 0.767 -2.183 -5.422 1.496 4.464 1.142 10.649" Properties=species:S:1:pos:R:3 comment="GGA-PBE PmTm2VN4, relaxed" e_form_raw_mev_per_atom=-1422.6 space_group="No. 63" vol_a3_per_cell=225.2 pbc="T T T"
Pm 2.765 0.112 8.311
Pm -2.879 -2.182 4.601
V -0.057 -0.857 9.597
V -0.058 -1.213 3.315
N 0.475 -2.813 9.585
N -0.099 -1.845 5.008
N 2.232 0.571 5.325
N -1.234 -2.136 2.299
N 0.000 0.000 0.000
N 1.120 0.066 10.613
N -0.016 -0.225 7.905
N -0.589 0.743 3.328
Tm -1.883 0.037 1.320
Tm 1.769 -2.107 11.593
Tm -0.086 -2.581 7.168
Tm -0.029 0.511 5.744

---

6
Lattice="-3.290 -3.115 4.000 1.841 -0.437 5.740 -2.999 2.911 4.366" Properties=species:S:1:pos:R:3 comment="GGA-PBE TbThMg4, relaxed" ef_ev_per_atom=-0.02 space_group="No. 216" vol_a3_per_cell=156.1 pbc="T T T"
Mg -2.779 -0.400 8.812
Mg -3.697 -0.182 5.949
Mg -1.137 1.154 6.816
Mg -1.282 -1.852 6.634
Tb -1.112 -0.160 3.526
Th 0.000 0.000 0.000

---

12
Lattice="-5.360 0.338 4.515 -4.187 -3.034 -4.743 1.723 -6.318 2.519" Properties=species:S:1:pos:R:3 comment="GGA-PBE NbRu, relaxed" ef_ev_per_atom=1.46 space_group="No. 223" vol_a3_per_cell=345.4 pbc="T T T"
Ru -3.434 -1.432 -1.243
Ru -0.185 -3.917 0.074
Ru -1.387 -4.569 4.147
Ru -6.113 -1.263 1.015
Ru -2.249 -1.410 2.888
Ru -2.279 -5.434 -2.297
Nb -1.663 -3.096 -1.742
Nb -5.820 -2.106 -1.299
Nb -3.727 -0.589 1.072
Nb -0.478 -3.074 2.389
Nb -3.158 -2.905 4.646
Nb -0.801 -6.255 -0.482

---

5
Lattice="5.780 0.000 0.000 0.000 5.780 0.000 0.000 0.000 5.780" Properties=species:S:1:pos:R:3 comment="GGA-PBE CaSb3H, relaxed" de_polymorph_mev_per_atom=1066 space_group="No. 221" vol_a3_per_cell=193.1 pbc="T T T"
Sb 2.890 0.000 0.000
Sb 0.000 0.000 2.890
Sb 0.000 2.890 0.000
Ca 0.000 0.000 0.000
H 2.890 2.890 2.890